No. 1
A plane-wave DFT calculation with GGA-PBE was carried out for a geometry-optimized Pr2PuCrN5 structure.

Summary:
As for the uncorrected formation energy: -1.03 eV/atom.

The structure in CIF format:
```
data_Pr2PuCrN5
_chemical_formula_sum 'Pr8 Pu4 Cr4 N20'
_cell_length_a 3.456
_cell_length_b 13.950
_cell_length_c 10.484
_cell_angle_alpha 90.00
_cell_angle_beta 90.00
_cell_angle_gamma 90.00
_symmetry_space_group_name_H-M 'C m c 21'
_symmetry_Int_Tables_number 36
loop_
_symmetry_equiv_pos_as_xyz
'x,y,z'
'-x,-y,z+1/2'
'-x,y,z'
'x,-y,z+1/2'
'x+1/2,y+1/2,z'
'-x+1/2,-y+1/2,z+1/2'
'-x+1/2,y+1/2,z'
'x+1/2,-y+1/2,z+1/2'
loop_
_atom_site_label
_atom_site_fract_x
_atom_site_fract_y
_atom_site_fract_z
_atom_site_occupancy
Pr1 0.000 0.110 0.000 1
Pr2 0.000 0.137 0.605 1
Pu1 0.000 0.206 0.312 1
Cr1 0.000 0.494 0.770 1
N1 0.000 0.040 0.334 1
N2 0.000 0.286 0.949 1
N3 0.000 0.310 0.683 1
N4 0.000 0.375 0.311 1
N5 0.000 0.493 0.101 1
```

---

No. 2
A plane-wave DFT calculation with GGA-PBE was carried out for a geometry-optimized Nd5Sm2Tm4 structure.

Summary:
As for the formation enthalpy at 0 K: 0.14 eV per atom. The value obtained for the energy above the most stable polymorph in this dataset is 0.0 meV per atom.

The structure in CIF format:
```
data_Nd5Sm2Tm4
_chemical_formula_sum 'Nd10 Sm4 Tm8'
_cell_length_a 18.010
_cell_length_b 3.582
_cell_length_c 12.169
_cell_angle_alpha 90.00
_cell_angle_beta 107.28
_cell_angle_gamma 90.00
_symmetry_space_group_name_H-M 'C 1 2/m 1'
_symmetry_Int_Tables_number 12
loop_
_symmetry_equiv_pos_as_xyz
'x,y,z'
'-x,-y,-z'
'-x,y,-z'
'x,-y,z'
'x+1/2,y+1/2,z'
'-x+1/2,-y+1/2,-z'
'-x+1/2,y+1/2,-z'
'x+1/2,-y+1/2,z'
loop_
_atom_site_label
_atom_site_fract_x
_atom_site_fract_y
_atom_site_fract_z
_atom_site_occupancy
Nd1 0.000 0.000 0.000 1
Nd2 0.114 0.500 0.516 1
Nd3 0.166 0.500 0.012 1
Sm1 0.176 0.000 0.289 1
Tm1 0.004 0.500 0.752 1
Tm2 0.170 0.000 0.768 1
```

---

No. 3
A plane-wave DFT calculation with GGA-PBE was carried out for a geometry-optimized VSe3S structure.

Summary:
As for the uncorrected formation energy: 0.30 eV/atom. The value obtained for the energy above the most stable polymorph in this dataset is 0.0 meV per atom.

The structure in CIF format:
```
data_VSe3S
_chemical_formula_sum 'V1 Se3 S1'
_cell_length_a 4.758
_cell_length_b 4.758
_cell_length_c 4.758
_cell_angle_alpha 90.00
_cell_angle_beta 90.00
_cell_angle_gamma 90.00
_symmetry_space_group_name_H-M 'P m -3 m'
_symmetry_Int_Tables_number 221
_symmetry_space_group_name_Hall '-P 4 2 3'
loop_
_atom_site_label
_atom_site_fract_x
_atom_site_fract_y
_atom_site_fract_z
_atom_site_occupancy
V1 0.000 0.000 0.000 1
Se1 0.000 0.000 0.500 1
S1 0.500 0.500 0.500 1
```

---

No. 4
A plane-wave DFT calculation with GGA-PBE was carried out for a geometry-optimized Th3U2Fe4 structure.

Summary:
As for the formation enthalpy at 0 K: -0.18 eV per atom.

The structure in CIF format:
```
data_Th3U2Fe4
_chemical_formula_sum 'Th6 U4 Fe8'
_cell_length_a 10.964
_cell_length_b 3.991
_cell_length_c 8.593
_cell_angle_alpha 90.00
_cell_angle_beta 103.34
_cell_angle_gamma 90.00
_symmetry_space_group_name_H-M 'C 1 2/m 1'
_symmetry_Int_Tables_number 12
loop_
_symmetry_equiv_pos_as_xyz
'x,y,z'
'-x,-y,-z'
'-x,y,-z'
'x,-y,z'
'x+1/2,y+1/2,z'
'-x+1/2,-y+1/2,-z'
'-x+1/2,y+1/2,-z'
'x+1/2,-y+1/2,z'
loop_
_atom_site_label
_atom_site_fract_x
_atom_site_fract_y
_atom_site_fract_z
_atom_site_occupancy
Th1 0.000 0.000 0.000 1
Th2 0.128 0.500 0.388 1
U1 0.178 0.500 0.780 1
Fe1 0.084 0.000 0.659 1
Fe2 0.226 0.500 0.090 1
```

---

No. 5
A plane-wave DFT calculation with GGA-PBE was carried out for a geometry-optimized LuInCoPt structure.

Summary:
As for the formation enthalpy at 0 K: -0.57 eV per atom.

The structure in CIF format:
```
data_LuInCoPt
_chemical_formula_sum 'Lu4 In4 Co4 Pt4'
_cell_length_a 6.571
_cell_length_b 6.571
_cell_length_c 6.571
_cell_angle_alpha 90.00
_cell_angle_beta 90.00
_cell_angle_gamma 90.00
_symmetry_space_group_name_H-M 'F -4 3 m'
_symmetry_Int_Tables_number 216
_symmetry_space_group_name_Hall 'F -4 2 3'
loop_
_atom_site_label
_atom_site_fract_x
_atom_site_fract_y
_atom_site_fract_z
_atom_site_occupancy
Lu1 0.000 0.000 0.000 1
In1 0.000 0.000 0.500 1
Co1 0.250 0.250 0.750 1
Pt1 0.250 0.250 0.250 1
```

---

No. 6
A plane-wave DFT calculation with GGA-PBE was carried out for a geometry-optimized K3La2TbO6 structure.

Summary:
As for the uncorrected formation energy: -2.69 eV/atom.

The structure in CIF format:
```
data_K3La2TbO6
_chemical_formula_sum 'K6 La4 Tb2 O12'
_cell_length_a 6.326
_cell_length_b 10.961
_cell_length_c 6.634
_cell_angle_alpha 90.00
_cell_angle_beta 108.51
_cell_angle_gamma 90.00
_symmetry_space_group_name_H-M 'C 1 2/m 1'
_symmetry_Int_Tables_number 12
loop_
_symmetry_equiv_pos_as_xyz
'x,y,z'
'-x,-y,-z'
'-x,y,-z'
'x,-y,z'
'x+1/2,y+1/2,z'
'-x+1/2,-y+1/2,-z'
'-x+1/2,y+1/2,-z'
'x+1/2,-y+1/2,z'
loop_
_atom_site_label
_atom_site_fract_x
_atom_site_fract_y
_atom_site_fract_z
_atom_site_occupancy
K1 0.000 0.000 0.000 1
K2 0.000 0.336 0.000 1
La1 0.000 0.167 0.500 1
Tb1 0.000 0.500 0.500 1
O1 0.224 0.340 0.689 1
O2 0.242 0.000 0.689 1
```

---

No. 7
A plane-wave DFT calculation with GGA-PBE was carried out for a geometry-optimized HoBO2 structure.

Summary:
As for the uncorrected formation energy: -0.73 eV/atom.

The structure in CIF format:
```
data_HoBO2
_chemical_formula_sum 'Ho3 B3 O6'
_cell_length_a 2.7888
_cell_length_b 2.7888
_cell_length_c 18.8739
_cell_angle_alpha 90.00
_cell_angle_beta 90.00
_cell_angle_gamma 120.00
_symmetry_space_group_name_H-M 'R -3 m'
_symmetry_Int_Tables_number 166
_symmetry_space_group_name_Hall '-R 3 2"'
loop_
_atom_site_label
_atom_site_fract_x
_atom_site_fract_y
_atom_site_fract_z
_atom_site_occupancy
Ho1 0.0000 0.0000 0.0000 1
B1 0.0000 0.0000 0.5000 1
O1 0.0000 0.0000 0.1210 1
```

---

No. 8
A plane-wave DFT calculation with GGA-PBE was carried out for a geometry-optimized AcPmTm2Bi4 structure.

Summary:
As for the formation enthalpy at 0 K: -0.85 eV per atom.

The structure in CIF format:
```
data_AcPmTm2Bi4
_chemical_formula_sum 'Ac1 Pm1 Tm2 Bi4'
_cell_length_a 7.925
_cell_length_b 4.594
_cell_length_c 7.954
_cell_angle_alpha 90.00
_cell_angle_beta 109.51
_cell_angle_gamma 90.00
_symmetry_space_group_name_H-M 'P 1 2/m 1'
_symmetry_Int_Tables_number 10
loop_
_symmetry_equiv_pos_as_xyz
'x,y,z'
'-x,-y,-z'
'-x,y,-z'
'x,-y,z'
loop_
_atom_site_label
_atom_site_fract_x
_atom_site_fract_y
_atom_site_fract_z
_atom_site_occupancy
Ac1 0.000 0.000 0.000 1
Pm1 0.000 0.500 0.500 1
Tm1 0.500 0.000 0.500 1
Tm2 0.500 0.500 0.000 1
Bi1 0.266 0.000 0.748 1
Bi2 0.271 0.500 0.264 1
```

---

Question: What is the formula in the fifth record?
Answer: LuInCoPt

---

Copy entry 1 word for word.
A plane-wave DFT calculation with GGA-PBE was carried out for a geometry-optimized Pr2PuCrN5 structure.

Summary:
As for the uncorrected formation energy: -1.03 eV/atom.

The structure in CIF format:
```
data_Pr2PuCrN5
_chemical_formula_sum 'Pr8 Pu4 Cr4 N20'
_cell_length_a 3.456
_cell_length_b 13.950
_cell_length_c 10.484
_cell_angle_alpha 90.00
_cell_angle_beta 90.00
_cell_angle_gamma 90.00
_symmetry_space_group_name_H-M 'C m c 21'
_symmetry_Int_Tables_number 36
loop_
_symmetry_equiv_pos_as_xyz
'x,y,z'
'-x,-y,z+1/2'
'-x,y,z'
'x,-y,z+1/2'
'x+1/2,y+1/2,z'
'-x+1/2,-y+1/2,z+1/2'
'-x+1/2,y+1/2,z'
'x+1/2,-y+1/2,z+1/2'
loop_
_atom_site_label
_atom_site_fract_x
_atom_site_fract_y
_atom_site_fract_z
_atom_site_occupancy
Pr1 0.000 0.110 0.000 1
Pr2 0.000 0.137 0.605 1
Pu1 0.000 0.206 0.312 1
Cr1 0.000 0.494 0.770 1
N1 0.000 0.040 0.334 1
N2 0.000 0.286 0.949 1
N3 0.000 0.310 0.683 1
N4 0.000 0.375 0.311 1
N5 0.000 0.493 0.101 1
```